Pd2C after structural relaxation. Source: OQMD, functional PBE-GGA.

a = 5.0946 Å, b = 5.0946 Å, c = 5.0946 Å
α = 60.00°, β = 60.00°, γ = 60.00°
Atoms (fractional coordinates):
Pd: 0.6250 0.6250 0.6250
Pd: 0.6250 0.6250 0.1250
Pd: 0.1250 0.6250 0.6250
Pd: 0.6250 0.1250 0.6250
C: 0.0000 0.0000 0.0000
C: 0.2500 0.2500 0.2500

Output
Its space-group type is Fd-3m (227). The energy above the lowest structure with this stoichiometry comes out at 1.4254 eV/atom.